[1]
VASP calculation (PBE) on a geometry-optimized Re2Ag5O12 structure.

## Properties
As for the size of the total moment: 0.00 Bohr magnetons per cell. The value obtained for the volume is 546.6 Å³/cell.

```
data_Re2Ag5O12
_chemical_formula_sum 'Re4 Ag10 O24'
_cell_length_a 11.727
_cell_length_b 5.755
_cell_length_c 8.701
_cell_angle_alpha 90.00
_cell_angle_beta 111.41
_cell_angle_gamma 90.00
_symmetry_space_group_name_H-M 'C 1 2/m 1'
_symmetry_Int_Tables_number 12
loop_
_symmetry_equiv_pos_as_xyz
'x,y,z'
'-x,-y,-z'
'-x,y,-z'
'x,-y,z'
'x+1/2,y+1/2,z'
'-x+1/2,-y+1/2,-z'
'-x+1/2,y+1/2,-z'
'x+1/2,-y+1/2,z'
loop_
_atom_site_label
_atom_site_type_symbol
_atom_site_fract_x
_atom_site_fract_y
_atom_site_fract_z
Re1 Re 0.000 0.228 0.000
Ag1 Ag 0.000 0.000 0.500
Ag2 Ag 0.120 0.500 0.720
Ag3 Ag 0.209 0.500 0.404
O1 O 0.086 0.245 0.860
O2 O 0.096 0.500 0.122
O3 O 0.118 0.000 0.142
O4 O 0.138 0.259 0.552
```


[2]
VASP calculation (PBE) on a geometry-optimized ReAgO2 structure.

## Properties
As for the size of the total moment: 0.00 Bohr magnetons per cell. The value obtained for the volume is 149.3 Å³/cell. As for the energy above the most stable polymorph in this dataset: 0 meV/atom.

```
data_ReAgO2
_chemical_formula_sum 'Re3 Ag3 O6'
_cell_length_a 2.7889
_cell_length_b 2.7889
_cell_length_c 22.1708
_cell_angle_alpha 90.00
_cell_angle_beta 90.00
_cell_angle_gamma 120.00
_symmetry_space_group_name_H-M 'R -3 m'
_symmetry_Int_Tables_number 166
_symmetry_space_group_name_Hall '-R 3 2"'
loop_
_atom_site_label
_atom_site_type_symbol
_atom_site_fract_x
_atom_site_fract_y
_atom_site_fract_z
Re1 Re 0.0000 0.0000 0.0000
Ag1 Ag 0.0000 0.0000 0.5000
O1 O 0.0000 0.0000 0.3935
```


[3]
VASP calculation (PBE) on a geometry-optimized ReAgO2 structure.

## Properties
As for the size of the total moment: 7.98 Bohr magnetons per cell. The value obtained for the volume is 432.7 Å³/cell. As for the energy above the most stable polymorph in this dataset: 546 meV/atom.

```
data_ReAgO2
_chemical_formula_sum 'Re8 Ag8 O16'
_cell_length_a 6.045
_cell_length_b 6.045
_cell_length_c 11.839
_cell_angle_alpha 90.00
_cell_angle_beta 90.00
_cell_angle_gamma 90.00
_symmetry_space_group_name_H-M 'I 41/a m d'
_symmetry_Int_Tables_number 141
loop_
_symmetry_equiv_pos_as_xyz
'x,y,z'
'-x,-y,-z'
'-y+1/4,x+3/4,z+1/4'
'y+1/4,-x+3/4,-z+1/4'
'-x+1/2,-y,z+1/2'
'x+1/2,y,-z+1/2'
'y+1/4,-x+1/4,z+3/4'
'-y+1/4,x+1/4,-z+3/4'
'x,-y,-z'
'-x,y,z'
'-y+1/4,-x+1/4,-z+3/4'
'y+1/4,x+1/4,z+3/4'
'-x+1/2,y,-z+1/2'
'x+1/2,-y,z+1/2'
'y+1/4,x+3/4,-z+1/4'
'-y+1/4,-x+3/4,z+1/4'
'x+1/2,y+1/2,z+1/2'
'-x+1/2,-y+1/2,-z+1/2'
'-y+3/4,x+1/4,z+3/4'
'y+3/4,-x+1/4,-z+3/4'
'-x,-y+1/2,z'
'x,y+1/2,-z'
'y+3/4,-x+3/4,z+1/4'
'-y+3/4,x+3/4,-z+1/4'
'x+1/2,-y+1/2,-z+1/2'
'-x+1/2,y+1/2,z+1/2'
'-y+3/4,-x+3/4,-z+1/4'
'y+3/4,x+3/4,z+1/4'
'-x,y+1/2,-z'
'x,-y+1/2,z'
'y+3/4,x+1/4,-z+3/4'
'-y+3/4,-x+1/4,z+3/4'
loop_
_atom_site_label
_atom_site_type_symbol
_atom_site_fract_x
_atom_site_fract_y
_atom_site_fract_z
Re1 Re 0.000 0.000 0.000
Ag1 Ag 0.000 0.000 0.500
O1 O 0.000 0.055 0.697
```


[4]
VASP calculation (PBE) on a geometry-optimized ReAgO3 structure.

## Properties
As for the size of the total moment: 4.24 Bohr magnetons per cell. The value obtained for the volume is 63.7 Å³/cell.

```
data_ReAgO3
_chemical_formula_sum 'Re1 Ag1 O3'
_cell_length_a 3.995
_cell_length_b 3.995
_cell_length_c 3.995
_cell_angle_alpha 90.00
_cell_angle_beta 90.00
_cell_angle_gamma 90.00
_symmetry_space_group_name_H-M 'P m -3 m'
_symmetry_Int_Tables_number 221
_symmetry_space_group_name_Hall '-P 4 2 3'
loop_
_atom_site_label
_atom_site_type_symbol
_atom_site_fract_x
_atom_site_fract_y
_atom_site_fract_z
Re1 Re 0.000 0.000 0.000
Ag1 Ag 0.500 0.500 0.500
O1 O 0.000 0.500 0.500
```


Calculated total energy, respectively: -5.7783, -6.9899, -6.4436, -4.9268 eV/atom.
Raw formation energy, respectively: -0.586, -0.686, -0.140, 1.108 eV per atom.